Entry 1:
Computed, not measured: a geometry-optimized CoCuPt2 structure at the PBE-GGA level of DFT.

Summary:
The total energy is -5.941 eV/atom. As for the size of the total moment: 2.7 μB/f.u. The energy of formation from the pure elements comes out at -0.120 eV per atom.

```
data_CoCuPt2
_space_group_name_H-M_alt 'P 1'
_space_group_IT_number 1
_space_group_name_Hall 'P 1'
_cell_length_a 2.742
_cell_length_b 3.644
_cell_length_c 5.509
_cell_angle_alpha 90.00
_cell_angle_beta 90.00
_cell_angle_gamma 90.00
loop_
_atom_site_label
_atom_site_fract_x
_atom_site_fract_y
_atom_site_fract_z
Pt1 0.000 0.000 0.497
Pt2 0.000 0.000 0.003
Cu1 0.500 0.500 0.750
Co1 0.500 0.500 0.250
```

Entry 2:
Computed, not measured: a geometry-optimized NdTcH2O6 structure at the PBE-GGA level of DFT.

Summary:
The total energy is -6.869 eV/atom. As for the size of the total moment: 0.0 μB/f.u.

```
data_NdTcH2O6
_space_group_name_H-M_alt 'P 1'
_space_group_IT_number 1
_space_group_name_Hall 'P 1'
_cell_length_a 5.214
_cell_length_b 5.508
_cell_length_c 5.949
_cell_angle_alpha 89.74
_cell_angle_beta 116.05
_cell_angle_gamma 121.29
loop_
_atom_site_label
_atom_site_fract_x
_atom_site_fract_y
_atom_site_fract_z
O1 0.111 0.338 0.192
O2 0.378 0.028 0.195
O3 0.538 0.864 0.774
O4 0.130 0.194 0.758
O5 0.806 0.759 0.213
O6 0.821 0.592 0.762
Nd1 0.958 0.490 0.472
Tc1 0.003 0.031 0.981
H1 0.591 0.739 0.171
H2 0.630 0.444 0.786
```

Entry 3:
Computed, not measured: a geometry-optimized Na3TeF structure at the PBE-GGA level of DFT.

Summary:
The total energy is -2.858 eV/atom. As for the size of the total moment: 0.0 μB/f.u. As for the uncorrected formation energy: -1064 meV/atom.

```
data_Na3TeF
_space_group_name_H-M_alt 'P 1'
_space_group_IT_number 1
_space_group_name_Hall 'P 1'
_cell_length_a 5.786
_cell_length_b 5.786
_cell_length_c 5.786
_cell_angle_alpha 90.00
_cell_angle_beta 90.00
_cell_angle_gamma 90.00
loop_
_atom_site_label
_atom_site_fract_x
_atom_site_fract_y
_atom_site_fract_z
Na1 0.000 0.000 0.500
Na2 0.000 0.500 0.000
Na3 0.500 0.000 0.000
F1 0.500 0.500 0.500
Te1 0.000 0.000 0.000
```

Entry 4:
Computed, not measured: a geometry-optimized La3Sm3DyTe8 structure at the PBE-GGA level of DFT.

Summary:
The total energy is -5.415 eV/atom. As for the size of the total moment: 0.0 μB/f.u. As for the uncorrected formation energy: -1503 meV/atom.

```
data_La3Sm3DyTe8
_space_group_name_H-M_alt 'P 1'
_space_group_IT_number 1
_space_group_name_Hall 'P 1'
_cell_length_a 8.949
_cell_length_b 8.949
_cell_length_c 9.019
_cell_angle_alpha 119.74
_cell_angle_beta 90.00
_cell_angle_gamma 120.00
loop_
_atom_site_label
_atom_site_fract_x
_atom_site_fract_y
_atom_site_fract_z
Te1 0.752 0.006 0.258
Te2 0.752 0.503 0.258
Te3 0.254 0.006 0.258
Te4 0.746 0.994 0.742
Te5 0.747 0.494 0.741
Te6 0.253 0.506 0.259
Te7 0.248 0.994 0.742
Te8 0.248 0.497 0.742
La1 0.000 0.000 0.000
La2 0.000 0.500 0.000
La3 0.500 0.500 0.000
Dy1 0.000 0.000 0.500
Sm1 0.500 0.500 0.500
Sm2 0.000 0.500 0.500
Sm3 0.500 0.000 0.500
```

Entry 5:
Computed, not measured: a geometry-optimized HfNb2Ga2 structure at the PBE-GGA level of DFT.

Summary:
The total energy is -7.008 eV/atom. As for the size of the total moment: 0.0 μB/f.u. The energy of formation from the pure elements comes out at 0.221 eV per atom.

```
data_HfNb2Ga2
_space_group_name_H-M_alt 'P 1'
_space_group_IT_number 1
_space_group_name_Hall 'P 1'
_cell_length_a 5.988
_cell_length_b 5.988
_cell_length_c 6.801
_cell_angle_alpha 98.65
_cell_angle_beta 98.65
_cell_angle_gamma 118.49
loop_
_atom_site_label
_atom_site_fract_x
_atom_site_fract_y
_atom_site_fract_z
Nb1 0.735 0.067 0.443
Nb2 0.433 0.765 0.057
Nb3 0.567 0.235 0.943
Nb4 0.265 0.933 0.557
Ga1 0.347 0.153 0.250
Ga2 0.653 0.847 0.750
Ga3 0.188 0.312 0.750
Ga4 0.812 0.688 0.250
Hf1 0.919 0.581 0.750
Hf2 0.081 0.419 0.250
```

Entry 6:
Computed, not measured: a geometry-optimized TbY2Pb3 structure at the PBE-GGA level of DFT.

Summary:
The total energy is -5.306 eV/atom. As for the size of the total moment: 0.0 μB/f.u. The energy of formation from the pure elements comes out at -0.525 eV per atom.

```
data_TbY2Pb3
_space_group_name_H-M_alt 'P 1'
_space_group_IT_number 1
_space_group_name_Hall 'P 1'
_cell_length_a 6.419
_cell_length_b 6.415
_cell_length_c 9.072
_cell_angle_alpha 110.71
_cell_angle_beta 100.22
_cell_angle_gamma 90.00
loop_
_atom_site_label
_atom_site_fract_x
_atom_site_fract_y
_atom_site_fract_z
Y1 0.083 0.792 0.333
Y2 0.583 0.542 0.333
Y3 0.417 0.458 0.667
Y4 0.917 0.208 0.667
Pb1 0.084 0.291 0.334
Pb2 0.250 0.375 0.000
Pb3 0.416 0.958 0.666
Pb4 0.916 0.709 0.666
Pb5 0.584 0.042 0.334
Pb6 0.750 0.625 0.000
Tb1 0.750 0.125 0.000
Tb2 0.250 0.875 0.000
```

Entry 7:
Computed, not measured: a geometry-optimized Li2ZnCr structure at the PBE-GGA level of DFT.

Summary:
The total energy is -3.469 eV/atom. As for the size of the total moment: 4.0 μB/f.u. The energy of formation from the pure elements comes out at 0.212 eV per atom.

```
data_Li2ZnCr
_space_group_name_H-M_alt 'P 1'
_space_group_IT_number 1
_space_group_name_Hall 'P 1'
_cell_length_a 4.775
_cell_length_b 4.775
_cell_length_c 4.775
_cell_angle_alpha 130.14
_cell_angle_beta 130.14
_cell_angle_gamma 73.18
loop_
_atom_site_label
_atom_site_fract_x
_atom_site_fract_y
_atom_site_fract_z
Zn1 0.500 0.500 0.000
Li1 0.000 0.000 0.000
Li2 0.250 0.750 0.500
Cr1 0.750 0.250 0.500
```

Entry 8:
Computed, not measured: a geometry-optimized LiNi9S10 structure at the PBE-GGA level of DFT.

Summary:
The total energy is -5.103 eV/atom. As for the size of the total moment: 0.0 μB/f.u. As for the uncorrected formation energy: -342 meV/atom.

```
data_LiNi9S10
_space_group_name_H-M_alt 'P 1'
_space_group_IT_number 1
_space_group_name_Hall 'P 1'
_cell_length_a 5.962
_cell_length_b 6.250
_cell_length_c 7.956
_cell_angle_alpha 101.15
_cell_angle_beta 111.62
_cell_angle_gamma 90.22
loop_
_atom_site_label
_atom_site_fract_x
_atom_site_fract_y
_atom_site_fract_z
Ni1 0.693 0.892 0.898
Ni2 0.192 0.401 0.896
Ni3 0.307 0.108 0.102
Ni4 0.098 0.707 0.699
Ni5 0.404 0.807 0.306
Ni6 0.808 0.599 0.104
Ni7 0.902 0.293 0.301
Ni8 0.596 0.193 0.694
Ni9 0.500 0.500 0.500
S1 0.520 0.460 0.195
S2 0.294 0.155 0.391
S3 0.125 0.634 0.404
S4 0.682 0.954 0.194
S5 0.706 0.845 0.609
S6 0.875 0.366 0.596
S7 0.318 0.046 0.806
S8 0.919 0.248 0.999
S9 0.081 0.752 0.001
S10 0.480 0.540 0.805
Li1 0.000 0.000 0.500
```